# PuBePdO6 | the Alexandria database | PBE | optimized geometry
# * formation energy without anion corrections: -1379 kJ/mol of formula units
# * crystal system: trigonal
# * density: 7.82 Mg/m³
data_PuBePdO6
_chemical_formula_sum 'Pu2 Be2 Pd2 O12'
_symmetry_space_group_name_H-M 'P -3 1 c'
_symmetry_Int_Tables_number 163
_symmetry_space_group_name_Hall '-P 3 2c'
_cell_length_a 5.0198
_cell_length_b 5.0198
_cell_length_c 8.8619
_cell_angle_alpha 90.00
_cell_angle_beta 90.00
_cell_angle_gamma 120.00
loop_
_atom_site_label
_atom_site_type_symbol
_atom_site_fract_x
_atom_site_fract_y
_atom_site_fract_z
Pu1 Pu 0.3333 0.6667 0.2500
Be1 Be 0.3333 0.6667 0.7500
Pd1 Pd 0.0000 0.0000 0.0000
O1 O 0.0233 0.3553 0.6318

=====

# BePdRuO2 | the Alexandria database | PBE | optimized geometry
# * formation energy without anion corrections: 433 kJ/mol of formula units
# * crystal system: tetragonal
# * density: 5.49 Mg/m³
data_BePdRuO2
_chemical_formula_sum 'Be1 Pd1 Ru1 O2'
_symmetry_space_group_name_H-M 'P 4/m m m'
_symmetry_Int_Tables_number 123
_symmetry_space_group_name_Hall '-P 4 2'
_cell_length_a 3.748
_cell_length_b 3.748
_cell_length_c 5.353
_cell_angle_alpha 90.00
_cell_angle_beta 90.00
_cell_angle_gamma 90.00
loop_
_atom_site_label
_atom_site_type_symbol
_atom_site_fract_x
_atom_site_fract_y
_atom_site_fract_z
Be1 Be 0.000 0.000 0.000
Pd1 Pd 0.500 0.500 0.500
Ru1 Ru 0.500 0.500 0.000
O1 O 0.000 0.500 0.500